DFT (PBE) results for an optimized crystal structure of CaH6Pd2Pb.

Unit cell a=7.319 b=7.319 c=4.716 alpha=87.08 beta=87.08 gamma=113.03
Positions (direct):
H  0.643  0.659  0.503
H  0.586  0.283  0.765
H  0.649  0.016  0.397
H  0.283  0.586  0.265
H  0.016  0.649  0.897
H  0.984  0.351  0.103
H  0.414  0.717  0.235
H  0.659  0.643  0.003
H  0.717  0.414  0.735
H  0.357  0.341  0.497
H  0.351  0.984  0.603
H  0.341  0.357  0.997
Ca  0.663  0.337  0.250
Ca  0.337  0.663  0.750
Pd  0.164  0.322  0.286
Pd  0.678  0.836  0.214
Pd  0.836  0.678  0.714
Pd  0.322  0.164  0.786
Pb  0.113  0.887  0.250
Pb  0.887  0.113  0.750

total magnetic moment = 0.00 μB per formula unit
space-group type = No. 15

DFT (PBE) results for an optimized crystal structure of Ca2HPtPb.

Unit cell a=5.383 b=5.383 c=3.616 alpha=90.00 beta=90.00 gamma=90.00
Positions (direct):
Ca  0.000  0.500  0.000
Ca  0.500  0.000  0.000
H  0.000  0.000  0.000
Pt  0.000  0.000  0.500
Pb  0.500  0.500  0.500

total magnetic moment = 0.00 μB per formula unit
space-group type = No. 123

DFT (PBE) results for an optimized crystal structure of CaHRh2Pb.

Unit cell a=4.298 b=4.298 c=4.206 alpha=90.00 beta=90.00 gamma=90.00
Positions (direct):
Ca  0.000  0.000  0.500
Rh  0.000  0.500  0.000
Rh  0.500  0.000  0.000
Pb  0.500  0.500  0.500
H  0.000  0.000  0.000

total magnetic moment = 0.00 μB per formula unit
space-group type = No. 123

DFT (PBE) results for an optimized crystal structure of Ca2HRhPb.

Unit cell a=5.232 b=5.232 c=3.713 alpha=90.00 beta=90.00 gamma=90.00
Positions (direct):
Pb  0.500  0.500  0.500
Ca  0.000  0.500  0.000
Ca  0.500  0.000  0.000
H  0.000  0.000  0.000
Rh  0.000  0.000  0.500

total magnetic moment = 0.00 μB per formula unit
space-group type = No. 123

DFT (PBE) results for an optimized crystal structure of CaSnHPb2.

Unit cell a=5.081 b=5.081 c=4.692 alpha=90.00 beta=90.00 gamma=90.00
Positions (direct):
Ca  0.000  0.000  0.500
Sn  0.500  0.500  0.500
Pb  0.500  0.000  0.000
Pb  0.000  0.500  0.000
H  0.000  0.000  0.000

total magnetic moment = 0.00 μB per formula unit
space-group type = No. 123

DFT (PBE) results for an optimized crystal structure of Ca4SnHPb.

Unit cell a=6.647 b=6.648 c=9.413 alpha=90.00 beta=110.68 gamma=90.00
Positions (direct):
H  0.238  0.750  0.476
H  0.762  0.250  0.524
Ca  0.500  0.500  0.500
Ca  0.927  0.250  0.854
Ca  0.500  0.000  0.500
Ca  0.000  0.500  0.500
Ca  0.433  0.750  0.867
Ca  0.567  0.250  0.133
Ca  0.073  0.750  0.146
Ca  0.000  0.000  0.500
Pb  0.115  0.250  0.229
Pb  0.885  0.750  0.771
Sn  0.618  0.750  0.236
Sn  0.382  0.250  0.764

total magnetic moment = 0.00 μB per formula unit
space-group type = No. 63

| no. | density of states at the Fermi level (states/eV/f.u.) | calculated total energy (eV/cell) |
| --- | --- | --- |
| 1 | 1.59 | -75.5 |
| 2 | 2.59 | -20.2 |
| 3 | 2.30 | -24.9 |
| 4 | 1.29 | -20.7 |
| 5 | 1.55 | -17.5 |
| 6 | 4.80 | -45.8 |